Material: Ca2LaTbTl4
Method: DFT, PBE
State: optimized geometry

- formation energy (meV per atom) = -400
- D(E_F) (states/eV/cell) = 7.53

Unit cell a=5.5040 b=5.5040 c=9.5632 alpha=73.28 beta=73.28 gamma=60.00
Positions (direct):
Tl: 0.8732 0.8732 0.3803
Tl: 0.6222 0.6222 0.1333
Tl: 0.3778 0.3778 0.8667
Tl: 0.1268 0.1268 0.6197
Tb: 0.5000 0.5000 0.5000
La: 0.0000 0.0000 0.0000
Ca: 0.2492 0.2492 0.2524
Ca: 0.7508 0.7508 0.7476


Material: MgMnSi2
Method: DFT, PBE
State: optimized geometry

- uncorrected formation energy (eV per atom) = 0.00
- D(E_F) (states/eV/cell) = 2.12

Unit cell a=3.0881 b=3.0881 c=6.0121 alpha=90.00 beta=90.00 gamma=90.00
Positions (direct):
Si: 0.5000 0.5000 0.2082
Si: 0.0000 0.0000 0.9618
Mn: 0.5000 0.5000 0.8214
Mg: 0.0000 0.0000 0.5085


Material: PrDy2Cu9
Method: DFT, PBE
State: optimized geometry

- formation energy (meV per atom) = -184
- D(E_F) (states/eV/cell) = 7.57

Unit cell a=5.2377 b=5.2377 c=8.7920 alpha=72.67 beta=72.67 gamma=60.00
Positions (direct):
Cu: 0.5000 0.5000 0.5000
Cu: 0.9158 0.4179 0.2484
Cu: 0.4179 0.9158 0.2484
Cu: 0.6679 0.6679 0.9963
Cu: 0.5821 0.5821 0.7516
Cu: 0.3321 0.3321 0.0037
Cu: 0.4179 0.4179 0.2484
Cu: 0.5821 0.0842 0.7516
Cu: 0.0842 0.5821 0.7516
Dy: 0.8560 0.8560 0.4321
Dy: 0.1440 0.1440 0.5679
Pr: 0.0000 0.0000 0.0000


Material: Rb2CeNp2S6
Method: DFT, PBE
State: optimized geometry

- uncorrected formation energy (eV per atom) = -1.54
- D(E_F) (states/eV/cell) = 25.35

Unit cell a=7.0946 b=7.0946 c=8.1741 alpha=98.18 beta=98.18 gamma=120.23
Positions (direct):
S: 0.2782 0.2782 0.3143
S: 0.9422 0.5982 0.3156
S: 0.7218 0.7218 0.6857
S: 0.5982 0.9422 0.3156
S: 0.4018 0.0578 0.6844
S: 0.0578 0.4018 0.6844
Np: 0.6657 0.3343 0.5000
Np: 0.3343 0.6657 0.5000
Ce: 0.0000 0.0000 0.5000
Rb: 0.8341 0.1659 0.0000
Rb: 0.1659 0.8341 0.0000